Density functional theory data (PBE) for a relaxed CeSm2P3 crystal.

Lattice parameters (Å, degrees): 4.1036 4.1036 17.3678 90.00 90.00 90.00
Fractional positions:
Ce 0.0000 0.0000 0.0000
Ce 0.5000 0.5000 0.5000
Sm 0.0000 0.0000 0.3321
Sm 0.0000 0.0000 0.6679
Sm 0.5000 0.5000 0.1679
Sm 0.5000 0.5000 0.8321
P 0.0000 0.0000 0.1651
P 0.0000 0.0000 0.5000
P 0.0000 0.0000 0.8349
P 0.5000 0.5000 0.0000
P 0.5000 0.5000 0.3349
P 0.5000 0.5000 0.6651

Summary:
N(E_F) = 11.131 states/eV per cell
Raw total energy = -40.917 eV per formula unit
V = 24.4 A^3/atom
Distance to the lowest polymorph of the same formula = 4 meV per atom
Formation energy = -1.55 eV per atom

Density functional theory data (PBE) for a relaxed CeSm3P4 crystal.

Lattice parameters (Å, degrees): 8.2034 11.5857 4.1008 90.00 90.00 90.00
Fractional positions:
Ce 0.0000 0.0000 0.0000
Ce 0.5000 0.5000 0.0000
Sm 0.0000 0.5000 0.0000
Sm 0.2500 0.2500 0.5000
Sm 0.2500 0.7500 0.5000
Sm 0.5000 0.0000 0.0000
Sm 0.7500 0.2500 0.5000
Sm 0.7500 0.7500 0.5000
P 0.0000 0.2478 0.0000
P 0.0000 0.7522 0.0000
P 0.2471 0.0000 0.5000
P 0.2529 0.5000 0.5000
P 0.5000 0.2522 0.0000
P 0.5000 0.7478 0.0000
P 0.7471 0.5000 0.5000
P 0.7529 0.0000 0.5000

Summary:
N(E_F) = 11.238 states/eV per cell
Raw total energy = -54.228 eV per formula unit
V = 24.4 A^3/atom
Distance to the lowest polymorph of the same formula = 0 meV per atom
Formation energy = -1.56 eV per atom

Density functional theory data (PBE) for a relaxed Ce3Sm5P8 crystal.

Lattice parameters (Å, degrees): 8.1817 8.1817 8.1817 60.03 60.03 60.03
Fractional positions:
Ce 0.0000 0.5000 0.5000
Ce 0.5000 0.0000 0.5000
Ce 0.5000 0.5000 0.0000
Sm 0.0000 0.0000 0.0000
Sm 0.0000 0.0000 0.5000
Sm 0.0000 0.5000 0.0000
Sm 0.5000 0.0000 0.0000
Sm 0.5000 0.5000 0.5000
P 0.2500 0.2500 0.7460
P 0.2500 0.7460 0.2500
P 0.2514 0.2514 0.2514
P 0.2540 0.7500 0.7500
P 0.7460 0.2500 0.2500
P 0.7486 0.7486 0.7486
P 0.7500 0.2540 0.7500
P 0.7500 0.7500 0.2540

Summary:
N(E_F) = 16.835 states/eV per cell
Raw total energy = -109.526 eV per formula unit
V = 24.2 A^3/atom
Formation energy = -1.55 eV per atom

> Among the records above, which one has the highest N(E_F)?

Ce3Sm5P8